Run w
{"formula": "LiBeTe", "functional": "PBE", "state": "relaxed", "lattice_angstrom": [[-2.221, -1.717, -2.779], [1.725, -2.202, 2.789], [-3.629, 0.465, 2.612]], "species": ["Be", "Te", "Li"], "fractional_positions": [[0.000, 0.000, 0.941], [0.333, 0.667, 0.765], [0.667, 0.333, 0.295]], "sg": "No. 156"}

=====

Run x
{"formula": "LiBeTe", "functional": "PBE", "state": "relaxed", "lattice_angstrom": [[-4.004, 1.387, 0.835], [-3.225, -0.952, -2.711], [-3.057, -2.813, 1.184]], "species": ["Li", "Be", "Te"], "fractional_positions": [[0.000, 0.000, 0.000], [0.750, 0.750, 0.750], [0.500, 0.500, 0.500]], "sg": "No. 216"}

=====

Relative energies, in eV/atom, with the most stable structure set to zero: run w 0.000; run x 0.135.